A plane-wave DFT calculation with SCAN was carried out for a PBEsol-optimized structure of SiSbTe2N.

extended XYZ file:
```
5
Lattice="5.240 0.000 0.000 0.000 5.240 0.000 0.000 0.000 5.127" Properties=species:S:1:pos:R:3 pbc="T T T"
Si 0.000 0.000 0.000
Sb 0.000 0.000 2.563
Te 0.000 2.620 0.000
Te 2.620 0.000 0.000
N 2.620 2.620 2.563
```

Final energy = -24.76 eV/atom
Symmetry = P4/mmm, No. 123
Energy relative to the elements, uncorrected = 1.457 eV/atom

---

A plane-wave DFT calculation with SCAN was carried out for a PBEsol-optimized structure of SiSbTe2N.

extended XYZ file:
```
5
Lattice="5.710 0.000 0.000 0.000 5.710 0.000 0.000 0.000 3.880" Properties=species:S:1:pos:R:3 pbc="T T T"
Si 0.000 0.000 0.000
Sb 2.855 2.855 1.940
Te 0.000 2.855 1.940
Te 2.855 0.000 1.940
N 2.855 2.855 0.000
```

Final energy = -25.06 eV/atom
Symmetry = P4/mmm, No. 123
Energy relative to the elements, uncorrected = 1.156 eV/atom

---

A plane-wave DFT calculation with SCAN was carried out for a PBEsol-optimized structure of SnSb3N.

extended XYZ file:
```
5
Lattice="4.781 0.000 0.000 0.000 4.781 0.000 0.000 0.000 4.781" Properties=species:S:1:pos:R:3 pbc="T T T"
Sn 0.000 0.000 0.000
Sb 0.000 2.391 2.391
Sb 2.391 0.000 2.391
Sb 2.391 2.391 0.000
N 2.391 2.391 2.391
```

Final energy = -30.77 eV/atom
Symmetry = Pm-3m, No. 221
Energy relative to the elements, uncorrected = 0.630 eV/atom

---

A plane-wave DFT calculation with SCAN was carried out for a PBEsol-optimized structure of SrSbN3.

extended XYZ file:
```
5
Lattice="4.349 0.000 0.000 0.000 4.349 0.000 0.000 0.000 4.349" Properties=species:S:1:pos:R:3 pbc="T T T"
Sr 0.000 0.000 0.000
Sb 2.174 2.174 2.174
N 0.000 0.000 2.174
N 0.000 2.174 0.000
N 2.174 0.000 0.000
```

Final energy = -15.29 eV/atom
Symmetry = Pm-3m, No. 221
Energy relative to the elements, uncorrected = 2.187 eV/atom

---

A plane-wave DFT calculation with SCAN was carried out for a PBEsol-optimized structure of TaSbN2.

extended XYZ file:
```
8
Lattice="-2.688 2.688 4.658 2.688 -2.688 4.658 2.688 2.688 -4.658" Properties=species:S:1:pos:R:3 pbc="T T T"
Ta 0.000 0.000 0.000
Ta 0.000 2.688 2.329
Sb 2.688 0.000 2.329
Sb 0.000 0.000 4.658
N 4.032 0.780 -1.165
N 0.780 1.344 1.165
N -1.344 1.908 3.494
N 1.908 1.344 5.823
```

Final energy = -30.80 eV/atom
Symmetry = I-42d, No. 122
Energy relative to the elements, uncorrected = -0.192 eV/atom

---

A plane-wave DFT calculation with SCAN was carried out for a PBEsol-optimized structure of TcSbN2.

extended XYZ file:
```
8
Lattice="-2.573 2.573 4.525 2.573 -2.573 4.525 2.573 2.573 -4.525" Properties=species:S:1:pos:R:3 pbc="T T T"
Tc 0.000 0.000 0.000
Tc 0.000 2.573 2.263
Sb 2.573 0.000 2.263
Sb 0.000 0.000 4.525
N 3.860 0.799 -1.131
N 0.799 1.287 1.131
N -1.287 1.774 3.394
N 1.774 1.287 5.656
```

Final energy = -22.27 eV/atom
Symmetry = I-42d, No. 122
Energy relative to the elements, uncorrected = 0.459 eV/atom

---

A plane-wave DFT calculation with SCAN was carried out for a PBEsol-optimized structure of SbTe2N2.

extended XYZ file:
```
5
Lattice="4.170 0.000 0.000 0.000 4.170 0.000 0.000 0.000 5.788" Properties=species:S:1:pos:R:3 pbc="T T T"
Sb 0.000 0.000 0.000
Te 2.085 2.085 0.000
Te 2.085 2.085 2.894
N 0.000 2.085 2.894
N 2.085 0.000 2.894
```

Final energy = -24.61 eV/atom
Symmetry = P4/mmm, No. 123
Energy relative to the elements, uncorrected = 1.462 eV/atom

---

A plane-wave DFT calculation with SCAN was carried out for a PBEsol-optimized structure of SbTe2N2.

extended XYZ file:
```
5
Lattice="4.641 0.000 0.000 0.000 4.641 0.000 0.000 0.000 4.191" Properties=species:S:1:pos:R:3 pbc="T T T"
Sb 0.000 0.000 0.000
Te 0.000 2.321 2.095
Te 2.321 0.000 2.095
N 2.321 2.321 0.000
N 2.321 2.321 2.095
```

Final energy = -24.58 eV/atom
Symmetry = P4/mmm, No. 123
Energy relative to the elements, uncorrected = 1.493 eV/atom

---

A plane-wave DFT calculation with SCAN was carried out for a PBEsol-optimized structure of TlSbTe2N.

extended XYZ file:
```
5
Lattice="5.732 0.000 0.000 0.000 5.732 0.000 0.000 0.000 5.703" Properties=species:S:1:pos:R:3 pbc="T T T"
Tl 0.000 0.000 0.000
Sb 0.000 0.000 2.852
Te 0.000 2.866 0.000
Te 2.866 0.000 0.000
N 2.866 2.866 2.852
```

Final energy = -37.05 eV/atom
Symmetry = P4/mmm, No. 123
Energy relative to the elements, uncorrected = 1.628 eV/atom

---

A plane-wave DFT calculation with SCAN was carried out for a PBEsol-optimized structure of Th2SbN2.

extended XYZ file:
```
5
Lattice="-2.007 2.007 6.819 2.007 -2.007 6.819 2.007 2.007 -6.819" Properties=species:S:1:pos:R:3 pbc="T T T"
Th 0.000 0.000 2.252
Th 0.000 0.000 11.387
Sb 0.000 0.000 6.819
N 2.007 0.000 3.410
N 0.000 2.007 3.410
```

Final energy = -51.25 eV/atom
Symmetry = I4/mmm, No. 139
Energy relative to the elements, uncorrected = -1.713 eV/atom

---

A plane-wave DFT calculation with SCAN was carried out for a PBEsol-optimized structure of TlSbN2.

extended XYZ file:
```
8
Lattice="-3.030 3.030 3.930 3.030 -3.030 3.930 3.030 3.030 -3.930" Properties=species:S:1:pos:R:3 pbc="T T T"
Tl 0.000 0.000 0.000
Tl 0.000 3.030 1.965
Sb 3.030 0.000 1.965
Sb 0.000 0.000 3.930
N 1.515 2.151 -0.983
N 3.910 1.515 0.983
N 1.515 0.880 2.948
N -0.880 1.515 4.913
```

Final energy = -31.47 eV/atom
Symmetry = I-42d, No. 122
Energy relative to the elements, uncorrected = 0.585 eV/atom

---

A plane-wave DFT calculation with SCAN was carried out for a PBEsol-optimized structure of U2SbN2.

extended XYZ file:
```
5
Lattice="-1.907 1.907 6.041 1.907 -1.907 6.041 1.907 1.907 -6.041" Properties=species:S:1:pos:R:3 pbc="T T T"
U 0.000 0.000 1.875
U 0.000 0.000 10.207
Sb 0.000 0.000 6.041
N 1.907 0.000 3.021
N 0.000 1.907 3.021
```

Final energy = -53.82 eV/atom
Symmetry = I4/mmm, No. 139
Energy relative to the elements, uncorrected = -1.242 eV/atom

---

A plane-wave DFT calculation with SCAN was carried out for a PBEsol-optimized structure of SbW2N2.

extended XYZ file:
```
5
Lattice="-1.989 1.989 4.759 1.989 -1.989 4.759 1.989 1.989 -4.759" Properties=species:S:1:pos:R:3 pbc="T T T"
Sb 0.000 0.000 0.000
W 1.989 0.000 2.379
W 0.000 1.989 2.379
N 0.000 0.000 2.907
N 0.000 0.000 6.611
```

Final energy = -38.69 eV/atom
Symmetry = I4/mmm, No. 139
Energy relative to the elements, uncorrected = 0.358 eV/atom

---

A plane-wave DFT calculation with SCAN was carried out for a PBEsol-optimized structure of Y2SbN.

extended XYZ file:
```
8
Lattice="-3.433 3.433 3.866 3.433 -3.433 3.866 3.433 3.433 -3.866" Properties=species:S:1:pos:R:3 pbc="T T T"
Y 1.716 1.062 -0.966
Y 2.371 -1.716 4.832
Y 1.716 2.371 2.899
Y 1.062 5.149 0.966
Sb 3.433 0.000 1.933
Sb 0.000 0.000 3.866
N 0.000 0.000 0.000
N 0.000 3.433 1.933
```

Final energy = -26.97 eV/atom
Symmetry = I-42d, No. 122
Energy relative to the elements, uncorrected = -1.409 eV/atom

---

A plane-wave DFT calculation with SCAN was carried out for a PBEsol-optimized structure of YSbN2.

extended XYZ file:
```
4
Lattice="1.751 1.011 6.375 -1.751 1.011 6.375 0.000 -2.022 6.375" Properties=species:S:1:pos:R:3 pbc="T T T"
Y 0.000 0.000 0.000
Sb 0.000 0.000 9.563
N 0.000 0.000 7.558
N 0.000 0.000 11.568
```

Final energy = -21.43 eV/atom
Symmetry = R-3m, No. 166
Energy relative to the elements, uncorrected = -0.511 eV/atom

---

A plane-wave DFT calculation with SCAN was carried out for a PBEsol-optimized structure of Y2SbN.

extended XYZ file:
```
4
Lattice="0.000 3.470 3.470 3.470 0.000 3.470 3.470 3.470 0.000" Properties=species:S:1:pos:R:3 pbc="T T T"
Y 1.735 1.735 1.735
Y 5.204 5.204 5.204
Sb 0.000 0.000 0.000
N 3.470 3.470 3.470
```

Final energy = -25.85 eV/atom
Symmetry = Fm-3m, No. 225
Energy relative to the elements, uncorrected = -0.294 eV/atom

---

A plane-wave DFT calculation with SCAN was carried out for a PBEsol-optimized structure of Zn3SbN3.

extended XYZ file:
```
7
Lattice="3.385 -3.270 0.000 3.385 3.270 0.000 -3.201 0.000 4.531" Properties=species:S:1:pos:R:3 pbc="T T T"
Zn 0.000 0.000 0.000
Zn 1.371 1.820 1.816
Zn 1.371 -1.820 1.816
Sb 0.010 0.000 3.990
N -1.848 0.000 3.137
N 3.032 1.537 0.824
N 3.032 -1.537 0.824
```

Final energy = -15.08 eV/atom
Symmetry = Cm, No. 8
Energy relative to the elements, uncorrected = 0.016 eV/atom

---

A plane-wave DFT calculation with SCAN was carried out for a PBEsol-optimized structure of Zn3SbN.

extended XYZ file:
```
5
Lattice="4.234 0.000 0.000 0.000 4.234 0.000 0.000 0.000 4.234" Properties=species:S:1:pos:R:3 pbc="T T T"
Zn 0.000 0.000 2.117
Zn 0.000 2.117 0.000
Zn 2.117 0.000 0.000
Sb 2.117 2.117 2.117
N 0.000 0.000 0.000
```

Final energy = -17.15 eV/atom
Symmetry = Pm-3m, No. 221
Energy relative to the elements, uncorrected = 0.270 eV/atom

---

A plane-wave DFT calculation with SCAN was carried out for a PBEsol-optimized structure of ZrSbN3.

extended XYZ file:
```
5
Lattice="4.172 0.000 0.000 0.000 4.172 0.000 0.000 0.000 4.172" Properties=species:S:1:pos:R:3 pbc="T T T"
Zr 0.000 0.000 0.000
Sb 2.086 2.086 2.086
N 0.000 0.000 2.086
N 0.000 2.086 0.000
N 2.086 0.000 0.000
```

Final energy = -18.63 eV/atom
Symmetry = Pm-3m, No. 221
Energy relative to the elements, uncorrected = 0.535 eV/atom

---

A plane-wave DFT calculation with SCAN was carried out for a PBEsol-optimized structure of Sc2SeN.

extended XYZ file:
```
8
Lattice="-2.798 2.798 4.878 2.798 -2.798 4.878 2.798 2.798 -4.878" Properties=species:S:1:pos:R:3 pbc="T T T"
Sc 4.196 0.946 -1.220
Sc 0.946 1.399 1.220
Sc -1.399 1.851 3.659
Sc 1.851 1.399 6.098
Se 2.798 0.000 2.439
Se 0.000 0.000 4.878
N 0.000 0.000 0.000
N 0.000 2.798 2.439
```

Final energy = -16.15 eV/atom
Symmetry = I-42d, No. 122
Energy relative to the elements, uncorrected = -1.689 eV/atom